# 1
{"formula": "CsTaPdO4", "functional": "GGA-PBE", "state": "relaxed", "lattice": [[-3.090, 3.098, 6.067], [3.090, -3.098, 6.067], [3.090, 3.098, -6.067]], "species": ["Cs", "Cs", "Ta", "Ta", "Pd", "Pd", "O", "O", "O", "O", "O", "O", "O", "O"], "fractional_positions": [[0.335, 0.085, 0.250], [0.665, 0.915, 0.750], [0.000, 0.000, 0.500], [0.000, 0.500, 0.000], [0.000, 0.500, 0.500], [0.500, 0.500, 0.000], [0.171, 0.222, 0.552], [0.171, 0.619, 0.948], [0.195, 0.242, 0.953], [0.212, 0.758, 0.453], [0.788, 0.242, 0.547], [0.805, 0.758, 0.047], [0.829, 0.381, 0.052], [0.829, 0.778, 0.448]], "magmom_total_mub_per_atom": 0.000, "sg": "Imma (74)", "dft_energy_ev_per_atom": -7.05, "crystal_system": "orthorhombic", "e_form_raw_ev_per_atom": -1.66}

# 2
{"formula": "Cs2TbPdO4", "functional": "GGA-PBE", "state": "relaxed", "lattice": [[0.000, 6.987, 11.989], [2.975, 0.000, 11.989], [2.975, 6.987, 0.000]], "species": ["Cs", "Cs", "Cs", "Cs", "Tb", "Tb", "Pd", "Pd", "O", "O", "O", "O", "O", "O", "O", "O"], "fractional_positions": [[0.064, 0.064, 0.686], [0.314, 0.314, 0.936], [0.686, 0.686, 0.064], [0.936, 0.936, 0.314], [0.125, 0.125, 0.125], [0.875, 0.875, 0.875], [0.375, 0.375, 0.375], [0.625, 0.625, 0.625], [0.019, 0.690, 0.530], [0.261, 0.530, 0.690], [0.310, 0.981, 0.739], [0.470, 0.739, 0.981], [0.530, 0.261, 0.019], [0.690, 0.019, 0.261], [0.739, 0.470, 0.310], [0.981, 0.310, 0.470]], "magmom_total_mub_per_atom": 0.134, "sg": "Fddd (70)", "dft_energy_ev_per_atom": -5.33, "crystal_system": "orthorhombic", "e_form_raw_ev_per_atom": -1.40}

# 3
{"formula": "CsTc2PdO8", "functional": "GGA-PBE", "state": "relaxed", "lattice": [[4.531, -3.091, 0.000], [4.531, 3.091, 0.000], [-1.281, 0.000, 8.582]], "species": ["Cs", "Tc", "Tc", "Pd", "O", "O", "O", "O", "O", "O", "O", "O"], "fractional_positions": [[0.000, 0.000, 0.000], [0.383, 0.383, 0.700], [0.617, 0.617, 0.300], [0.000, 0.000, 0.500], [0.234, 0.234, 0.544], [0.257, 0.725, 0.686], [0.275, 0.743, 0.314], [0.317, 0.317, 0.879], [0.683, 0.683, 0.121], [0.725, 0.257, 0.686], [0.743, 0.275, 0.314], [0.766, 0.766, 0.456]], "magmom_total_mub_per_atom": 0.085, "sg": "C2/m (12)", "dft_energy_ev_per_atom": -6.86, "crystal_system": "monoclinic", "e_form_raw_ev_per_atom": -1.33}

# 4
{"formula": "Cs2TePdO4", "functional": "GGA-PBE", "state": "relaxed", "lattice": [[0.000, 6.763, 11.197], [2.598, 0.000, 11.197], [2.598, 6.763, 0.000]], "species": ["Cs", "Cs", "Cs", "Cs", "Te", "Te", "Pd", "Pd", "O", "O", "O", "O", "O", "O", "O", "O"], "fractional_positions": [[0.042, 0.042, 0.708], [0.292, 0.292, 0.958], [0.708, 0.708, 0.042], [0.958, 0.958, 0.292], [0.375, 0.375, 0.375], [0.625, 0.625, 0.625], [0.125, 0.125, 0.125], [0.875, 0.875, 0.875], [0.074, 0.568, 0.493], [0.365, 0.493, 0.568], [0.432, 0.926, 0.635], [0.493, 0.365, 0.074], [0.507, 0.635, 0.926], [0.568, 0.074, 0.365], [0.635, 0.507, 0.432], [0.926, 0.432, 0.507]], "magmom_total_mub_per_atom": 0.021, "sg": "Fddd (70)", "dft_energy_ev_per_atom": -4.59, "crystal_system": "orthorhombic", "e_form_raw_ev_per_atom": -0.85}

# 5
{"formula": "Cs2Te2PdO6", "functional": "GGA-PBE", "state": "relaxed", "lattice": [[7.074, -2.828, 0.000], [7.074, 2.828, 0.000], [-4.821, 0.000, 6.843]], "species": ["Cs", "Cs", "Te", "Te", "Pd", "O", "O", "O", "O", "O", "O"], "fractional_positions": [[0.206, 0.206, 0.280], [0.794, 0.794, 0.720], [0.442, 0.442, 0.182], [0.558, 0.558, 0.818], [0.000, 0.000, 0.500], [0.148, 0.663, 0.285], [0.337, 0.852, 0.715], [0.398, 0.398, 0.696], [0.602, 0.602, 0.304], [0.663, 0.148, 0.285], [0.852, 0.337, 0.715]], "magmom_total_mub_per_atom": 0.000, "sg": "C2/m (12)", "dft_energy_ev_per_atom": -5.02, "crystal_system": "monoclinic", "e_form_raw_ev_per_atom": -1.12}

# 6
{"formula": "CsTePdO6", "functional": "GGA-PBE", "state": "relaxed", "lattice": [[5.274, 0.000, 0.000], [-2.637, 4.568, 0.000], [0.000, 0.000, 6.913]], "species": ["Cs", "Te", "Pd", "O", "O", "O", "O", "O", "O"], "fractional_positions": [[0.000, 0.000, 0.000], [0.333, 0.667, 0.500], [0.667, 0.333, 0.500], [0.007, 0.383, 0.338], [0.007, 0.623, 0.662], [0.377, 0.383, 0.662], [0.377, 0.993, 0.338], [0.617, 0.623, 0.338], [0.617, 0.993, 0.662]], "magmom_total_mub_per_atom": 0.103, "sg": "P312 (149)", "dft_energy_ev_per_atom": -5.18, "crystal_system": "trigonal", "e_form_raw_ev_per_atom": -0.85}

# 7
{"formula": "Cs2TePdO", "functional": "GGA-PBE", "state": "relaxed", "lattice": [[6.149, 0.000, 0.000], [0.000, 6.149, 0.000], [0.000, 0.000, 4.349]], "species": ["Cs", "Cs", "Te", "Pd", "O"], "fractional_positions": [[0.000, 0.500, 0.000], [0.500, 0.000, 0.000], [0.000, 0.000, 0.500], [0.500, 0.500, 0.500], [0.000, 0.000, 0.000]], "magmom_total_mub_per_atom": 0.000, "sg": "P4/mmm (123)", "dft_energy_ev_per_atom": -3.35, "crystal_system": "tetragonal", "e_form_raw_ev_per_atom": -0.35}

# 8
{"formula": "Cs2ThPdO4", "functional": "GGA-PBE", "state": "relaxed", "lattice": [[7.631, 0.000, 0.000], [0.000, 7.218, 0.000], [0.000, 0.000, 7.106]], "species": ["Cs", "Cs", "Cs", "Cs", "Th", "Th", "Pd", "Pd", "O", "O", "O", "O", "O", "O", "O", "O"], "fractional_positions": [[0.244, 0.075, 0.000], [0.256, 0.925, 0.500], [0.744, 0.925, 0.500], [0.756, 0.075, 0.000], [0.000, 0.489, 0.333], [0.500, 0.511, 0.833], [0.000, 0.685, 0.874], [0.500, 0.315, 0.374], [0.000, 0.637, 0.593], [0.000, 0.751, 0.163], [0.229, 0.308, 0.363], [0.271, 0.692, 0.863], [0.500, 0.249, 0.663], [0.500, 0.363, 0.093], [0.729, 0.692, 0.863], [0.771, 0.308, 0.363]], "magmom_total_mub_per_atom": 0.000, "sg": "Pmn2_1 (31)", "dft_energy_ev_per_atom": -6.06, "crystal_system": "orthorhombic", "e_form_raw_ev_per_atom": -1.79}

# 9
{"formula": "CsThPdO4", "functional": "GGA-PBE", "state": "relaxed", "lattice": [[-3.127, 3.650, 6.138], [3.127, -3.650, 6.138], [3.127, 3.650, -6.138]], "species": ["Cs", "Cs", "Th", "Th", "Pd", "Pd", "O", "O", "O", "O", "O", "O", "O", "O"], "fractional_positions": [[0.425, 0.175, 0.250], [0.575, 0.825, 0.750], [0.000, 0.500, 0.500], [0.500, 0.500, 0.000], [0.000, 0.000, 0.500], [0.000, 0.500, 0.000], [0.123, 0.705, 0.419], [0.214, 0.295, 0.919], [0.262, 0.302, 0.540], [0.262, 0.722, 0.960], [0.738, 0.278, 0.040], [0.738, 0.698, 0.460], [0.786, 0.705, 0.081], [0.877, 0.295, 0.581]], "magmom_total_mub_per_atom": 0.077, "sg": "Imma (74)", "dft_energy_ev_per_atom": -6.58, "crystal_system": "orthorhombic", "e_form_raw_ev_per_atom": -1.82}

# 10
{"formula": "Cs2TiPdO4", "functional": "GGA-PBE", "state": "relaxed", "lattice": [[0.000, 6.386, 11.022], [2.727, 0.000, 11.022], [2.727, 6.386, 0.000]], "species": ["Cs", "Cs", "Cs", "Cs", "Ti", "Ti", "Pd", "Pd", "O", "O", "O", "O", "O", "O", "O", "O"], "fractional_positions": [[0.050, 0.050, 0.700], [0.300, 0.300, 0.950], [0.700, 0.700, 0.050], [0.950, 0.950, 0.300], [0.125, 0.125, 0.125], [0.875, 0.875, 0.875], [0.375, 0.375, 0.375], [0.625, 0.625, 0.625], [0.048, 0.295, 0.366], [0.209, 0.634, 0.705], [0.295, 0.048, 0.791], [0.366, 0.791, 0.048], [0.634, 0.209, 0.952], [0.705, 0.952, 0.209], [0.791, 0.366, 0.295], [0.952, 0.705, 0.634]], "magmom_total_mub_per_atom": 0.247, "sg": "Fddd (70)", "dft_energy_ev_per_atom": -6.01, "crystal_system": "orthorhombic", "e_form_raw_ev_per_atom": -1.68}

# 11
{"formula": "Cs2TlPdO4", "functional": "GGA-PBE", "state": "relaxed", "lattice": [[0.000, 7.214, 11.246], [3.177, 0.000, 11.246], [3.177, 7.214, 0.000]], "species": ["Cs", "Cs", "Cs", "Cs", "Tl", "Tl", "Pd", "Pd", "O", "O", "O", "O", "O", "O", "O", "O"], "fractional_positions": [[0.053, 0.053, 0.697], [0.303, 0.303, 0.947], [0.697, 0.697, 0.053], [0.947, 0.947, 0.303], [0.125, 0.125, 0.125], [0.875, 0.875, 0.875], [0.375, 0.375, 0.375], [0.625, 0.625, 0.625], [0.053, 0.693, 0.507], [0.247, 0.507, 0.693], [0.307, 0.947, 0.753], [0.493, 0.753, 0.947], [0.507, 0.247, 0.053], [0.693, 0.053, 0.247], [0.753, 0.493, 0.307], [0.947, 0.307, 0.493]], "magmom_total_mub_per_atom": 0.127, "sg": "Fddd (70)", "dft_energy_ev_per_atom": -4.40, "crystal_system": "orthorhombic", "e_form_raw_ev_per_atom": -0.76}

# 12
{"formula": "Cs2UPd2O6", "functional": "GGA-PBE", "state": "relaxed", "lattice": [[3.176, 1.834, 6.324], [-3.176, 1.834, 6.324], [0.000, -3.667, 6.324]], "species": ["Cs", "Cs", "U", "Pd", "Pd", "O", "O", "O", "O", "O", "O"], "fractional_positions": [[0.215, 0.215, 0.215], [0.785, 0.785, 0.785], [0.000, 0.000, 0.000], [0.403, 0.403, 0.403], [0.597, 0.597, 0.597], [0.218, 0.218, 0.763], [0.218, 0.763, 0.218], [0.237, 0.782, 0.782], [0.763, 0.218, 0.218], [0.782, 0.237, 0.782], [0.782, 0.782, 0.237]], "magmom_total_mub_per_atom": 0.000, "sg": "R-3m (166)", "dft_energy_ev_per_atom": -6.40, "crystal_system": "trigonal", "e_form_raw_ev_per_atom": -1.57}